Tl2SbW (PBE, optimized geometry); total magnetization = 0.220 μB per atom; crystal system = monoclinic; final energy = -0.1650 hartree per atom; space group = No. 12; energy relative to the lowest polymorph listed for this composition = 472.4 meV/atom; uncorrected formation energy = 0.9629 eV per atom
1.0
-4.311 -0.044 -2.299
0.530 -4.572 4.133
-1.727 1.119 2.913
W Tl Sb
1 2 1
direct
0.000 0.500 0.500
0.500 0.000 0.500
0.000 0.000 0.000
0.500 0.500 0.000